Sm2Os2C3, relaxed, DFT PBE; symmetry = C2/m, No. 12; theoretical density = 11.37 g cm⁻³; energy = -60.64 eV per cell; V = 105 Å³ per cell
1.0
-3.625 -4.764 1.232
-0.726 -5.250 3.044
-1.154 4.665 3.096
C Os Sm
3 2 2
Cartesian
-1.943 0.837 3.332
-3.562 -6.187 4.040
0.000 0.000 0.000
-4.453 -5.264 5.712
-1.052 -0.086 1.660
-3.586 -2.297 5.120
-1.919 -3.053 2.252